The following is a PBE calculation of an optimized crystal structure of PmSn3Cl9, from Alexandria.

Geometry as POSCAR:
```
PmSn3Cl9
1.0
-4.898 7.970 -1.660
-7.714 -0.591 -7.266
-10.540 -0.134 3.270
Sn Cl Pm
6 18 2
Direct
0.953 0.933 0.906
0.208 0.433 0.406
0.554 0.695 0.231
0.665 0.534 0.766
0.520 0.195 0.731
0.035 0.034 0.266
0.779 0.252 0.679
0.700 0.552 0.025
0.127 0.177 0.982
0.799 0.008 0.204
0.357 0.923 0.353
0.996 0.655 0.102
0.990 0.508 0.704
0.723 0.052 0.525
0.981 0.310 0.249
0.290 0.752 0.179
0.028 0.785 0.747
0.638 0.950 0.980
0.460 0.810 0.749
0.246 0.155 0.602
0.367 0.423 0.853
0.713 0.677 0.482
0.439 0.285 0.247
0.431 0.450 0.480
0.531 0.984 0.452
0.032 0.484 0.952
```

=====

The following is a PBE calculation of an optimized crystal structure of PmSnCl, from Alexandria.

Geometry as POSCAR:
```
PmSnCl
1.0
-0.797 1.591 -3.411
4.102 -2.026 -1.904
-4.288 -2.478 -0.153
Sn Pm Cl
1 1 1
Direct
0.667 0.667 0.333
0.167 0.000 0.000
0.166 0.333 0.667
```

=====

The following is a PBE calculation of an optimized crystal structure of PmTl2SnCl6, from Alexandria.

Geometry as POSCAR:
```
PmTl2SnCl6
1.0
-0.358 3.423 -6.715
5.829 -6.284 -3.514
-8.393 -6.254 -2.740
Cl Tl Sn Pm
12 4 2 2
Direct
0.759 0.010 0.500
0.000 0.808 0.251
0.741 0.990 0.000
0.272 0.595 0.000
0.228 0.405 0.500
0.241 0.010 0.500
0.000 0.808 0.749
0.728 0.595 0.000
0.500 0.192 0.751
0.259 0.990 0.000
0.500 0.192 0.249
0.772 0.405 0.500
0.500 0.823 0.195
0.500 0.823 0.805
0.000 0.177 0.695
0.000 0.177 0.305
0.000 0.708 0.500
0.500 0.292 0.000
0.500 0.221 0.500
0.000 0.779 0.000
```

=====

| no. | electronic total energy (eV/atom) | density (kg/m3) | size of the total moment (μB per formula unit) |
| --- | --- | --- | --- |
| 1 | -3.9558 | 3265 | 0.0 |
| 2 | -4.3788 | 6073 | 0.5 |
| 3 | -3.7581 | 3887 | 1.0 |